A plane-wave DFT calculation with GGA-PBE was carried out for a geometry-optimized KAg2Bi structure.

* total moment: 0.000 μB per atom
* formation energy: -0.13 eV/atom

Geometry as CIF:
```
data_KAg2Bi
_cell_length_a 4.918
_cell_length_b 6.944
_cell_length_c 8.146
_cell_angle_alpha 90.00
_cell_angle_beta 90.00
_cell_angle_gamma 110.78
_space_group_name_H-M_alt 'P 1'
_space_group_IT_number 1
loop_
_space_group_symop_operation_xyz
'x,y,z'
loop_
_atom_site_label
_atom_site_type_symbol
_atom_site_fract_x
_atom_site_fract_y
_atom_site_fract_z
_atom_site_occupancy
K1 K 0.442 0.885 0.750 1
K2 K 0.558 0.115 0.250 1
Ag1 Ag 0.265 0.531 0.424 1
Ag2 Ag 0.735 0.469 0.576 1
Ag3 Ag 0.265 0.531 0.076 1
Ag4 Ag 0.735 0.469 0.924 1
Bi1 Bi 0.846 0.691 0.250 1
Bi2 Bi 0.154 0.309 0.750 1
```